1.
The following is a PBE calculation of an optimized crystal structure of HoPaBr, from Alexandria via LeMat-Bulk. Values from VASP.

The structure in Quantum ESPRESSO input format:
```
&SYSTEM
  ibrav = 0, nat = 6, ntyp = 3
/
ATOMIC_SPECIES
Ho 164.93 Ho.upf
Pa 231.04 Pa.upf
Br 79.90 Br.upf
CELL_PARAMETERS angstrom
3.4745 -0.0773 0.1025
0.0963 5.2628 0.6322
-1.2948 -1.0141 8.6441
ATOMIC_POSITIONS crystal
Ho 0.6495 0.2500 0.7867
Pa 0.1412 0.2498 0.4600
Ho 0.3505 0.7500 0.2133
Pa 0.8588 0.7502 0.5400
Br 0.2477 0.2500 0.0861
Br 0.7523 0.7500 0.9139
```

**ΔE_f (raw)**: -0.5242 eV/atom
**M_tot**: 0.00 μB per cell
**ρ**: 9.81 g/cm³
**Symmetry**: No. 11
**DOS at the Fermi energy**: 1.325 states/eV/atom

=====

2.
The following is a PBE calculation of an optimized crystal structure of PmZnGa4Cu2, from Alexandria via LeMat-Bulk. Values from VASP.

The structure in Quantum ESPRESSO input format:
```
&SYSTEM
  ibrav = 0, nat = 8, ntyp = 4
/
ATOMIC_SPECIES
Pm 145.00 Pm.upf
Zn 65.41 Zn.upf
Ga 69.72 Ga.upf
Cu 63.55 Cu.upf
CELL_PARAMETERS angstrom
4.3014 0.0000 0.0000
2.1507 3.7251 0.0000
2.1507 1.2417 8.7500
ATOMIC_POSITIONS crystal
Pm 0.0000 0.0000 0.0000
Zn 0.5000 0.5000 0.5000
Ga 0.3992 0.3992 0.8023
Cu 0.7613 0.7613 0.7160
Cu 0.2387 0.2387 0.2840
Ga 0.6008 0.6008 0.1977
Ga 0.1252 0.1252 0.6244
Ga 0.8748 0.8748 0.3756
```

**DFT formation energy**: -218.8 meV per atom
**M_tot**: 0.00 μB per cell
**ρ**: 7.30 g/cm³
**Symmetry**: No. 166
**DOS at the Fermi energy**: 0.333 states/eV/atom

=====

3.
The following is a PBE calculation of an optimized crystal structure of BaTbAu2, from Alexandria via LeMat-Bulk. Values from VASP.

The structure in Quantum ESPRESSO input format:
```
&SYSTEM
  ibrav = 0, nat = 4, ntyp = 3
/
ATOMIC_SPECIES
Au 196.97 Au.upf
Tb 158.93 Tb.upf
Ba 137.33 Ba.upf
CELL_PARAMETERS angstrom
4.3384 0.0000 0.0000
2.1692 3.7571 0.0000
2.1692 1.2524 7.7585
ATOMIC_POSITIONS crystal
Au 0.0686 0.0686 0.7941
Au 0.2646 0.2646 0.2061
Tb 0.6687 0.6687 0.9939
Ba 0.4980 0.4980 0.5060
```

**DFT formation energy**: -644.1 meV per atom
**M_tot**: 0.00 μB per cell
**ρ**: 9.06 g/cm³
**Symmetry**: No. 160
**DOS at the Fermi energy**: 0.666 states/eV/atom
**Energy above the most stable polymorph in this dataset**: 107 meV per atom

=====

4.
The following is a PBE calculation of an optimized crystal structure of TbEr3Ru2, from Alexandria via LeMat-Bulk. Values from VASP.

The structure in Quantum ESPRESSO input format:
```
&SYSTEM
  ibrav = 0, nat = 12, ntyp = 3
/
ATOMIC_SPECIES
Er 167.26 Er.upf
Ru 101.07 Ru.upf
Tb 158.93 Tb.upf
CELL_PARAMETERS angstrom
6.6859 0.0000 0.0000
0.0000 6.9613 0.0000
-3.3430 -3.4806 6.7135
ATOMIC_POSITIONS crystal
Er 0.2364 0.9864 0.4729
Ru 0.8558 0.1345 0.2690
Er 0.5000 0.7500 0.0000
Er 0.7636 0.5136 0.5271
Er 0.5000 0.2500 0.0000
Ru 0.1442 0.8655 0.7310
Er 0.2364 0.4864 0.4729
Ru 0.4132 0.6345 0.2690
Ru 0.5868 0.3655 0.7310
Tb 0.0000 0.5000 0.0000
Tb 0.0000 0.0000 0.0000
Er 0.7636 0.0136 0.5271
```

**DFT formation energy**: -257.5 meV per atom
**M_tot**: 0.00 μB per cell
**ρ**: 9.17 g/cm³
**Symmetry**: No. 72
**DOS at the Fermi energy**: 0.386 states/eV/atom
**Energy above the most stable polymorph in this dataset**: 116 meV per atom

=====

> DOS at the Fermi energy of number 3 (BaTbAu2)?

0.666 states/eV/atom

=====

> What is the formula in the fourth record?

TbEr3Ru2